No. 1
The following is a PBE calculation of crystalline SrRuRh2S at its relaxed geometry, from Alexandria.

The structure in POSCAR format:
```
SrRuRh2S
1.0
4.980 0.000 0.000
0.000 4.980 0.000
0.000 0.000 5.054
Sr Ru Rh S
1 1 2 1
direct
0.000 0.000 0.000
0.000 0.000 0.500
0.000 0.500 0.000
0.500 0.000 0.000
0.500 0.500 0.500
```

Summary:
Formation energy from raw total energies   2239 meV/atom

***

No. 2
The following is a PBE calculation of crystalline CaCdSnF6 at its relaxed geometry, from Alexandria.

The structure in POSCAR format:
```
CaCdSnF6
1.0
5.983 0.000 0.000
-2.992 5.182 0.000
0.000 0.000 4.958
Ca Cd Sn F
1 1 1 6
direct
0.000 0.000 0.000
0.333 0.667 0.000
0.667 0.333 0.500
0.009 0.334 0.233
0.009 0.675 0.767
0.325 0.334 0.767
0.325 0.991 0.233
0.666 0.675 0.233
0.666 0.991 0.767
```

Summary:
Formation energy from raw total energies   -2753 meV/atom

***

Copy entry 1 word for word.
The following is a PBE calculation of crystalline SrRuRh2S at its relaxed geometry, from Alexandria.

The structure in POSCAR format:
```
SrRuRh2S
1.0
4.980 0.000 0.000
0.000 4.980 0.000
0.000 0.000 5.054
Sr Ru Rh S
1 1 2 1
direct
0.000 0.000 0.000
0.000 0.000 0.500
0.000 0.500 0.000
0.500 0.000 0.000
0.500 0.500 0.500
```

Summary:
Formation energy from raw total energies   2239 meV/atom